Record 1
{
  "formula": "BaZn3Rh",
  "functional": "PBE",
  "state": "relaxed",
  "delta_e_f_ev_per_atom": -0.276,
  "cell": [[4.2932, -0.0005, -0.0005], [-0.0031, 8.1273, -0.0187], [-2.1447, 0.7867, 6.3898]],
  "species": ["Zn", "Zn", "Zn", "Zn", "Zn", "Rh", "Ba", "Ba", "Zn", "Rh"],
  "frac_coords": [[0.5565, 0.1390, 0.0551], [0.7082, 0.7190, 0.3590], [0.9034, 0.7764, 0.7502], [0.0931, 0.6353, 0.1289], [0.6482, 0.4236, 0.2386], [0.0745, 0.3116, 0.0907], [0.3773, 0.4667, 0.6977], [0.2584, 0.0250, 0.4590], [0.9863, 0.0384, 0.9149], [0.5176, 0.8331, 0.9779]]
}

Record 2
{
  "formula": "Tl2InMo",
  "functional": "PBE",
  "state": "relaxed",
  "delta_e_f_ev_per_atom": 0.818,
  "cell": [[-3.3710, -3.9649, 0.0018], [-3.9804, -0.0328, -3.3526], [-0.0423, -3.3813, -3.9559]],
  "species": ["In", "Mo", "Tl", "Tl"],
  "frac_coords": [[0.5000, 0.5000, 0.5000], [0.0000, 0.0000, 0.0000], [0.2500, 0.2500, 0.2500], [0.7500, 0.7500, 0.7500]]
}

Record 3
{
  "formula": "AgW3Br7",
  "functional": "PBE",
  "state": "relaxed",
  "raw_formation_energy_ev_per_atom": -0.452,
  "cell": [[-14.8550, -4.2422, 4.2244], [2.0531, -9.4672, -2.2874], [3.7925, -6.2815, 7.0281]],
  "species": ["Br", "Br", "Br", "W", "Br", "W", "Br", "W", "Ag", "Br", "W", "Br", "W", "Br", "Br", "Br", "Br", "Ag", "W", "Br", "Br", "Br", "Br", "Br", "Ag", "Br", "W", "Br", "Br", "Br", "Br", "W", "W", "Ag", "W", "Br", "Br", "Br", "Br", "W", "Br", "Br", "W", "Br"],
  "frac_coords": [[0.8585, 0.8536, 0.0829], [0.2282, 0.8119, 0.3454], [0.4286, 0.6864, 0.6534], [0.9070, 0.3667, 0.5656], [0.9286, 0.3136, 0.8466], [0.5385, 0.5928, 0.1101], [0.0876, 0.2805, 0.2273], [0.4615, 0.4072, 0.8899], [0.2874, 0.0832, 0.8321], [0.1142, 0.5805, 0.7157], [0.5930, 0.3667, 0.0656], [0.7718, 0.1881, 0.6546], [0.4070, 0.6333, 0.9344], [0.8858, 0.4195, 0.2843], [0.9124, 0.7195, 0.7727], [0.1912, 0.3934, 0.4951], [0.3858, 0.5805, 0.2157], [0.7126, 0.9168, 0.1679], [0.0385, 0.4072, 0.3899], [0.5876, 0.7195, 0.2727], [0.5055, 0.8723, 0.8727], [0.8088, 0.6066, 0.5049], [0.4945, 0.1277, 0.1273], [0.3088, 0.3934, 0.9951], [0.2126, 0.0832, 0.3321], [0.4124, 0.2805, 0.7273], [0.5599, 0.6458, 0.8288], [0.6415, 0.8536, 0.5829], [0.3585, 0.1464, 0.4171], [0.0055, 0.1277, 0.6273], [0.9945, 0.8723, 0.3727], [0.0930, 0.6333, 0.4344], [0.9615, 0.5928, 0.6101], [0.7874, 0.9168, 0.6679], [0.9401, 0.6458, 0.3288], [0.1415, 0.1464, 0.9171], [0.6142, 0.4195, 0.7843], [0.7282, 0.1881, 0.1546], [0.6912, 0.6066, 0.0049], [0.0599, 0.3542, 0.6712], [0.0714, 0.6864, 0.1534], [0.2718, 0.8119, 0.8454], [0.4401, 0.3542, 0.1712], [0.5714, 0.3136, 0.3466]]
}

Record 4
{
  "formula": "MoPtW3",
  "functional": "PBE",
  "state": "relaxed",
  "delta_e_f_ev_per_atom": 2.057,
  "cell": [[4.6616, 0.0000, 0.0000], [0.0000, 4.6616, 0.0000], [0.0000, 0.0000, 4.6616]],
  "species": ["Mo", "Pt", "W", "W", "W"],
  "frac_coords": [[0.0000, 0.0000, 0.0000], [0.5000, 0.5000, 0.5000], [0.5000, 0.0000, 0.0000], [0.0000, 0.0000, 0.5000], [0.0000, 0.5000, 0.0000]]
}

Record 5
{
  "formula": "ScMn2TcPb",
  "functional": "PBE",
  "state": "relaxed",
  "delta_e_f_ev_per_atom": 1.751,
  "cell": [[4.9602, 0.0000, 0.0000], [0.0000, 5.3938, 0.0000], [0.0000, 0.0000, 4.9602]],
  "species": ["Mn", "Mn", "Pb", "Tc", "Sc"],
  "frac_coords": [[0.0000, 0.0000, 0.5000], [0.5000, 0.0000, 0.0000], [0.0000, 0.0000, 0.0000], [0.5000, 0.5000, 0.5000], [0.0000, 0.5000, 0.0000]]
}

Record 6
{
  "formula": "Pm4RhSeBr2",
  "functional": "PBE",
  "state": "relaxed",
  "raw_formation_energy_ev_per_atom": -1.245,
  "cell": [[-0.5486, 0.0989, 4.0241], [4.2496, -6.4262, 0.7373], [7.1880, 2.1521, 0.9270]],
  "species": ["Br", "Rh", "Pm", "Se", "Pm", "Br", "Pm", "Pm"],
  "frac_coords": [[0.5000, 0.0000, 0.5000], [0.0000, 0.5000, 0.5000], [0.0000, 0.2901, 0.2461], [0.5000, 0.5000, 0.0000], [0.5000, 0.7018, 0.2889], [0.0000, 0.0000, 0.0000], [0.0000, 0.7099, 0.7539], [0.5000, 0.2982, 0.7111]]
}

Record 7
{
  "formula": "ErTh2Rh",
  "functional": "PBE",
  "state": "relaxed",
  "delta_e_f_ev_per_atom": -0.465,
  "cell": [[6.2064, 0.0000, 0.0000], [0.0000, 7.0940, 0.0000], [0.0000, 0.0000, 10.0982]],
  "species": ["Th", "Er", "Rh", "Rh", "Er", "Er", "Th", "Th", "Th", "Er", "Rh", "Th", "Th", "Rh", "Th", "Th"],
  "frac_coords": [[0.8441, 0.3207, 0.9409], [0.6559, 0.5409, 0.2500], [0.1083, 0.3850, 0.2500], [0.3917, 0.8850, 0.2500], [0.8441, 0.0409, 0.2500], [0.1559, 0.9591, 0.7500], [0.6559, 0.8207, 0.9409], [0.1559, 0.6793, 0.0591], [0.1559, 0.6793, 0.4409], [0.3441, 0.4591, 0.7500], [0.6083, 0.1150, 0.7500], [0.3441, 0.1793, 0.4409], [0.8441, 0.3207, 0.5591], [0.8917, 0.6150, 0.7500], [0.6559, 0.8207, 0.5591], [0.3441, 0.1793, 0.0591]]
}

Record 8
{
  "formula": "BaO4",
  "functional": "PBE",
  "state": "relaxed",
  "raw_formation_energy_ev_per_atom": 0.559,
  "cell": [[-4.7904, 2.0925, 0.3490], [-1.2648, -3.5092, 3.6789], [1.7031, 3.2796, 3.7138]],
  "species": ["O", "O", "O", "Ba", "O"],
  "frac_coords": [[0.0000, 0.0000, 0.0000], [0.5000, 0.5000, 0.0000], [0.0000, 0.5000, 0.5000], [0.5000, 0.5000, 0.5000], [0.5000, 0.0000, 0.5000]]
}

Record 9
{
  "formula": "SiB2",
  "functional": "PBE",
  "state": "relaxed",
  "raw_formation_energy_ev_per_atom": 0.273,
  "cell": [[-1.6374, 0.4266, -2.4819], [-3.0957, -0.5370, 1.9789], [1.6079, 5.9631, 1.3009]],
  "species": ["Si", "B", "B", "Si", "B", "B"],
  "frac_coords": [[0.4345, 0.4565, 0.8067], [0.8758, 0.0845, 0.6218], [0.3840, 0.8867, 0.6590], [0.5655, 0.5435, 0.1933], [0.6160, 0.1133, 0.3410], [0.1242, 0.9155, 0.3782]]
}

Record 10
{
  "formula": "Ac8La2Y3",
  "functional": "PBE",
  "state": "relaxed",
  "delta_e_f_ev_per_atom": 0.185,
  "cell": [[-5.4665, -3.4899, -0.7598], [4.6494, -7.3425, 0.2745], [-0.3691, -5.0301, 9.4147]],
  "species": ["Ac", "Ac", "Ac", "Y", "La", "Ac", "Y", "Ac", "Ac", "Ac", "Ac", "Y", "La"],
  "frac_coords": [[0.2149, 0.8709, 0.7122], [0.7851, 0.1291, 0.2878], [0.2310, 0.4678, 0.0644], [0.0000, 0.0000, 0.0000], [0.2798, 0.2972, 0.4056], [0.2682, 0.8272, 0.3456], [0.5000, 0.1751, 0.0000], [0.2149, 0.4169, 0.7122], [0.7318, 0.1728, 0.6544], [0.7851, 0.5831, 0.2878], [0.7690, 0.5322, 0.9356], [0.5000, 0.8249, 0.0000], [0.7202, 0.7028, 0.5944]]
}

Record 11
{
  "formula": "ZrTeCl",
  "functional": "PBE",
  "state": "relaxed",
  "raw_formation_energy_ev_per_atom": -0.817,
  "cell": [[4.8605, 0.0000, 0.0000], [2.4302, 4.2093, 0.0000], [2.4302, 1.4031, 3.9685]],
  "species": ["Zr", "Te", "Cl"],
  "frac_coords": [[0.7500, 0.7500, 0.7500], [0.5000, 0.5000, 0.5000], [0.0000, 0.0000, 0.0000]]
}

Record 12
{
  "formula": "TcNiCl2",
  "functional": "PBE",
  "state": "relaxed",
  "raw_formation_energy_ev_per_atom": 0.118,
  "cell": [[-2.2482, -0.6010, -1.8273], [1.7231, -1.8785, -1.5022], [-2.3166, -5.9761, 4.8157]],
  "species": ["Cl", "Cl", "Ni", "Tc"],
  "frac_coords": [[0.5000, 0.5000, 0.3483], [0.0000, 0.0000, 0.9101], [0.0000, 0.0000, 0.5240], [0.5000, 0.5000, 0.7176]]
}

Record 13
{
  "formula": "TbPr2ErTm5",
  "functional": "PBE",
  "state": "relaxed",
  "delta_e_f_ev_per_atom": 0.274,
  "cell": [[-5.8120, 3.0666, 5.5200], [4.6058, -3.0736, 6.5570], [4.5263, 6.7266, -5.6427]],
  "species": ["Tm", "Pr", "Tm", "Er", "Er", "Pr", "Tm", "Tm", "Tm", "Pr", "Tb", "Tm", "Pr", "Tm", "Tm", "Tb", "Tm", "Tm"],
  "frac_coords": [[0.6452, 0.1452, 0.7176], [0.6181, 0.1181, 0.0000], [0.1452, 0.0724, 0.7176], [0.2500, 0.7500, 0.5000], [0.7500, 0.2500, 0.5000], [0.1181, 0.3819, 0.0000], [0.0724, 0.5724, 0.7176], [0.5724, 0.6452, 0.7176], [0.4276, 0.3548, 0.2824], [0.8819, 0.6181, 0.0000], [0.7500, 0.7500, 0.5000], [0.9276, 0.4276, 0.2824], [0.3819, 0.8819, 0.0000], [0.0000, 0.0000, 0.0000], [0.5000, 0.5000, 0.0000], [0.2500, 0.2500, 0.5000], [0.3548, 0.8548, 0.2824], [0.8548, 0.9276, 0.2824]]
}

Record 14
{
  "formula": "YHf2MgTc",
  "functional": "PBE",
  "state": "relaxed",
  "delta_e_f_ev_per_atom": 1.604,
  "cell": [[5.2189, 0.0000, 0.0000], [0.0000, 4.7743, 0.0000], [0.0000, 0.0000, 5.2189]],
  "species": ["Tc", "Hf", "Hf", "Mg", "Y"],
  "frac_coords": [[0.0000, 0.5000, 0.0000], [0.5000, 0.0000, 0.0000], [0.0000, 0.0000, 0.5000], [0.5000, 0.5000, 0.5000], [0.0000, 0.0000, 0.0000]]
}

Record 15
{
  "formula": "InGaBr2",
  "functional": "PBE",
  "state": "relaxed",
  "raw_formation_energy_ev_per_atom": -0.529,
  "cell": [[3.8936, 0.0000, 0.0000], [0.0000, 3.8936, 0.0000], [0.0000, 0.0000, 7.8596]],
  "species": ["Ga", "In", "Br", "Br"],
  "frac_coords": [[0.5000, 0.5000, 0.0000], [0.5000, 0.5000, 0.5000], [0.0000, 0.0000, 0.2386], [0.0000, 0.0000, 0.7614]]
}

Record 16
{
  "formula": "KTiCl3",
  "functional": "PBE",
  "state": "relaxed",
  "raw_formation_energy_ev_per_atom": -1.512,
  "cell": [[-0.6414, 0.4015, -4.9734], [3.7770, -5.9769, -0.9695], [-9.4502, -1.8844, 1.0666]],
  "species": ["K", "Cl", "Ti", "Ti", "Cl", "Cl", "Cl", "Cl", "Cl", "K"],
  "frac_coords": [[0.7500, 0.3494, 0.3245], [0.2500, 0.0800, 0.1933], [0.7500, 0.5831, 0.8566], [0.2500, 0.7265, 0.1434], [0.2500, 0.5190, 0.8762], [0.7500, 0.6428, 0.1238], [0.7500, 0.2871, 0.6285], [0.2500, 0.6586, 0.3715], [0.7500, 0.8867, 0.8067], [0.2500, 0.0250, 0.6755]]
}

Record 17
{
  "formula": "RbTl2WS4",
  "functional": "PBE",
  "state": "relaxed",
  "raw_formation_energy_ev_per_atom": -0.595,
  "cell": [[-3.6148, -4.5128, -5.5735], [4.1158, -6.4108, 2.5412], [-3.2372, 4.5884, 4.1572]],
  "species": ["Tl", "S", "S", "Rb", "Tl", "W", "S", "S"],
  "frac_coords": [[0.7500, 0.2498, 0.4999], [0.8137, 0.4848, 0.2983], [0.5154, 0.5154, 0.7011], [0.9999, 0.9999, 0.0001], [0.2498, 0.7500, 0.4999], [0.5001, 0.5001, 0.0000], [0.1866, 0.1866, 0.7031], [0.4848, 0.8137, 0.2983]]
}

Record 18
{
  "formula": "HoPuNp2N4",
  "functional": "PBE",
  "state": "relaxed",
  "raw_formation_energy_ev_per_atom": -1.257,
  "cell": [[-1.6300, -1.4306, -2.6756], [4.9425, -3.0451, -1.3828], [-3.3455, -3.2373, 3.7689]],
  "species": ["N", "N", "Np", "N", "N", "Np", "Ho", "Pu"],
  "frac_coords": [[0.0000, 0.2500, 0.7374], [0.5000, 0.2584, 0.2620], [0.5000, 0.0000, 0.5000], [0.5000, 0.7416, 0.7380], [0.0000, 0.7500, 0.2626], [0.0000, 0.5000, 0.5000], [0.5000, 0.5000, 0.0000], [0.0000, 0.0000, 0.0000]]
}

Record 19
{
  "formula": "RbAgPb",
  "functional": "PBE",
  "state": "relaxed",
  "delta_e_f_ev_per_atom": 0.042,
  "cell": [[3.9276, 0.0000, 0.0000], [0.0000, 8.2410, -0.4143], [-1.9638, -3.1275, 7.0536]],
  "species": ["Pb", "Rb", "Pb", "Ag", "Rb", "Ag"],
  "frac_coords": [[0.4694, 0.2729, 0.9388], [0.1776, 0.1815, 0.3552], [0.5306, 0.7271, 0.0612], [0.8944, 0.4532, 0.7889], [0.8224, 0.8185, 0.6448], [0.1056, 0.5468, 0.2111]]
}

Record 20
{
  "formula": "NaCr2Pb",
  "functional": "PBE",
  "state": "relaxed",
  "delta_e_f_ev_per_atom": 0.934,
  "cell": [[-2.5772, -2.0865, 7.3900], [-3.9538, -6.3218, -3.1637], [-0.7793, -5.9467, 2.4882]],
  "species": ["Na", "Cr", "Cr", "Pb", "Cr", "Pb", "Cr", "Na"],
  "frac_coords": [[0.2500, 0.7500, 0.5000], [0.3750, 0.3503, 0.7500], [0.6497, 0.1250, 0.2500], [0.7500, 0.2500, 0.5000], [0.8750, 0.8997, 0.7500], [0.0000, 0.0000, 0.0000], [0.1003, 0.6250, 0.2500], [0.5000, 0.5000, 0.0000]]
}